# 1
## ThGeHPd (PBE-GGA)

Data for ThGeHPd after structural relaxation.

Structure (POSCAR):
```
ThGeHPd
1.0
4.4235 0.0000 0.0000
-2.2117 3.8304 0.0070
0.0000 -0.0074 3.9570
Th Ge H Pd
1 1 1 1
Direct
0.9052 0.8105 0.8076
0.5719 0.1439 0.3349
0.2386 0.4772 0.8100
0.2386 0.4771 0.2867
```

Properties
Magnetization: 0.000 μB/atom
D(E_F): 2.30 states/eV per cell
Electronic total energy: -23.6 eV for the cell shown


# 2
## TiGe2HPd (PBE-GGA)

Data for TiGe2HPd after structural relaxation.

Structure (POSCAR):
```
TiGe2HPd
1.0
4.9862 0.0000 0.0000
0.0000 3.2894 0.0000
0.0000 0.0000 4.9862
H Ge Pd Ti
1 2 1 1
Direct
0.0000 0.5000 0.0000
0.0000 0.0000 0.5000
0.5000 0.0000 0.0000
0.5000 0.5000 0.5000
0.0000 0.0000 0.0000
```

Properties
Magnetization: 0.000 μB/atom
D(E_F): 2.75 states/eV per cell
Electronic total energy: -24.7 eV for the cell shown


# 3
## Tm2GeHPd6 (PBE-GGA)

Data for Tm2GeHPd6 after structural relaxation.

Structure (POSCAR):
```
Tm2GeHPd6
1.0
5.6213 0.0295 -0.0139
-0.0384 6.8134 -0.6975
2.8056 2.8784 4.0148
Tm Ge H Pd
2 1 1 6
Direct
0.7160 0.1721 0.5685
0.2840 0.8279 0.4315
0.0000 0.0000 0.0000
0.5000 0.5000 0.0000
0.2661 0.3281 0.4683
0.7433 0.7029 0.0091
0.2465 0.7022 0.0096
0.7535 0.2978 0.9904
0.2567 0.2971 0.9909
0.7339 0.6719 0.5317
```

Properties
Magnetization: 0.000 μB/atom
D(E_F): 3.09 states/eV per cell
Electronic total energy: -55.2 eV for the cell shown


# 4
## UGeHPd (PBE-GGA)

Data for UGeHPd after structural relaxation.

Structure (POSCAR):
```
UGeHPd
1.0
4.3850 0.0000 0.0000
-2.1925 3.7976 0.0067
0.0000 -0.0065 3.7406
U Ge H Pd
1 1 1 1
Direct
0.5719 0.1438 0.3098
0.9053 0.8105 0.8100
0.2386 0.4771 0.3096
0.2386 0.4772 0.8096
```

Properties
Magnetization: 0.581 μB/atom
D(E_F): 5.79 states/eV per cell
Electronic total energy: -25.9 eV for the cell shown